Entry 1:
The following is a DFT calculation (PBE) of Zr2ZnAg after structural relaxation.

Lattice parameters (Å, degrees): 10.118 2.970 5.382 90.00 98.28 90.00
Space group C2/m (No. 12)
Symmetry-distinct sites (fractional):
1 Zr 0.248 0.000 0.236 (multiplicity 4)
2 Zn 0.000 0.500 0.000 (multiplicity 2)
3 Ag 0.000 0.000 0.500 (multiplicity 2)

=====

Entry 2:
The following is a DFT calculation (PBE) of ZrZn3Ag after structural relaxation.

Lattice parameters (Å, degrees): 5.237 5.237 5.237 90.00 90.00 90.00
Space group Pm-3m (No. 221)
Symmetry-distinct sites (fractional):
1 Zr 0.000 0.000 0.000 (multiplicity 1)
2 Zn 0.000 0.000 0.500 (multiplicity 3)
3 Ag 0.500 0.500 0.500 (multiplicity 1)

Calculated values
E above lowest polymorph, meV/atom: 1048.3

=====

DFT formation energy values, unit eV/atom, following the record order: 0.039, 1.023.